A geometry-optimized K3ZnRu structure. Source: the Alexandria database, functional PBE.

Summary:
The density of states at the Fermi level is 9.08 states/eV/f.u. For the formation enthalpy at 0 K, the calculation gives 0.984 eV per atom. The calculation puts the polymorph energy (0 for the lowest one) at 0 meV per atom. The value obtained for the calculated total energy is -1.785 eV/atom. As for the crystal system: cubic.

Cell: 6.212 6.212 6.212 Å, 90.00 90.00 90.00°
Fractional coordinates of all 5 atoms:
K 0.000 0.000 0.500
K 0.000 0.500 0.000
K 0.500 0.000 0.000
Zn 0.500 0.500 0.500
Ru 0.000 0.000 0.000


A geometry-optimized SrCuRu3 structure. Source: the Alexandria database, functional PBE.

Summary:
The density of states at the Fermi level is 5.25 states/eV/f.u. For the formation enthalpy at 0 K, the calculation gives 2.745 eV per atom. The value obtained for the calculated total energy is -3.976 eV/atom. As for the crystal system: cubic.

Cell: 4.873 4.873 4.873 Å, 90.00 90.00 90.00°
Fractional coordinates of all 5 atoms:
Sr 0.000 0.000 0.000
Cu 0.500 0.500 0.500
Ru 0.000 0.000 0.500
Ru 0.000 0.500 0.000
Ru 0.500 0.000 0.000


A geometry-optimized KLaRu structure. Source: the Alexandria database, functional PBE.

Summary:
For the formation enthalpy at 0 K, the calculation gives 0.664 eV per atom. The calculation puts the polymorph energy (0 for the lowest one) at 378 meV per atom. The value obtained for the calculated total energy is -4.436 eV/atom. As for the crystal system: cubic.

Cell: 4.989 4.989 4.989 Å, 60.00 60.00 60.00°
Fractional coordinates of all 3 atoms:
K 0.000 0.000 0.000
La 0.500 0.500 0.500
Ru 0.750 0.750 0.750


A geometry-optimized SrSn2HgS6 structure. Source: the Alexandria database, functional PBE.

Summary:
For the uncorrected formation energy, the calculation gives -61.4 kJ/mol of atoms. The value obtained for the calculated total energy is -4.112 eV/atom. As for the crystal system: monoclinic.

Cell: 9.346 9.346 7.219 Å, 104.92 104.92 86.74°
Fractional coordinates of all 20 atoms:
Sr 0.115 0.885 0.750
Sr 0.885 0.115 0.250
Sn 0.230 0.374 0.785
Sn 0.374 0.230 0.285
Sn 0.626 0.770 0.715
Sn 0.770 0.626 0.215
Hg 0.266 0.734 0.250
Hg 0.734 0.266 0.750
S 0.043 0.188 0.672
S 0.126 0.613 0.921
S 0.188 0.043 0.172
S 0.312 0.446 0.522
S 0.387 0.874 0.579
S 0.446 0.312 0.022
S 0.554 0.688 0.978
S 0.613 0.126 0.421
S 0.688 0.554 0.478
S 0.812 0.957 0.828
S 0.874 0.387 0.079
S 0.957 0.812 0.328


A geometry-optimized LiInGa structure. Source: the Alexandria database, functional PBE.

Summary:
The density of states at the Fermi level is 0.91 states/eV/f.u. For the formation enthalpy at 0 K, the calculation gives -0.150 eV per atom. The value obtained for the calculated total energy is -2.710 eV/atom. As for the crystal system: tetragonal.

Cell: 5.684 5.684 5.684 Å, 144.96 144.96 50.39°
Fractional coordinates of all 3 atoms:
Li 0.000 0.000 0.000
In 0.323 0.323 0.000
Ga 0.644 0.644 0.000


A geometry-optimized Y2TaMo structure. Source: the Alexandria database, functional PBE.

Summary:
The density of states at the Fermi level is 4.86 states/eV/f.u. For the formation enthalpy at 0 K, the calculation gives 0.337 eV per atom. The calculation puts the polymorph energy (0 for the lowest one) at 200 meV per atom. The value obtained for the calculated total energy is -8.566 eV/atom. As for the crystal system: trigonal.

Cell: 10.172 10.172 10.172 Å, 18.80 18.80 18.80°
Fractional coordinates of all 4 atoms:
Y 0.000 0.000 0.000
Y 0.224 0.224 0.224
Ta 0.472 0.472 0.472
Mo 0.745 0.745 0.745